1.
DFT (GGA-PBE) results for CsMg after structural relaxation.

Summary:
total magnetization: 0.00 μB per formula unit
D(E_F): 25.16 states/eV/cell
symmetry: Pm-3n, No. 223
final energy: -0.57 eV per atom

Cell: 11.5465 11.5465 11.5465 Å, 90.00 90.00 90.00°
With the nearest neighbours (Å) after each atom.
Positions (direct):
Cs: 0.2500 0.5000 0.0000  4 Mg 4.08
Cs: 0.7500 0.5000 0.0000  4 Mg 4.08
Cs: 0.5000 0.0000 0.2500  4 Mg 4.08
Cs: 0.5000 0.0000 0.7500  4 Mg 4.08
Cs: 0.0000 0.2500 0.5000  4 Mg 4.08
Cs: 0.0000 0.7500 0.5000  4 Mg 4.08
Mg: 0.2500 0.0000 0.5000  4 Cs 4.08
Mg: 0.7500 0.0000 0.5000  4 Cs 4.08
Mg: 0.0000 0.5000 0.2500  4 Cs 4.08
Mg: 0.0000 0.5000 0.7500  4 Cs 4.08
Mg: 0.5000 0.2500 0.0000  4 Cs 4.08
Mg: 0.5000 0.7500 0.0000  4 Cs 4.08


2.
DFT (GGA-PBE) results for CsMg after structural relaxation.

Summary:
total magnetization: 0.00 μB per formula unit
D(E_F): 9.12 states/eV/cell
symmetry: Pmmn, No. 59
final energy: -1.00 eV per atom

Cell: 5.4105 7.7869 18.4320 Å, 90.00 90.00 90.00°
With the nearest neighbours (Å) after each atom.
Positions (direct):
Cs: 0.0000 0.7578 0.7868  4 Mg 4.08-4.33
Cs: 0.5000 0.2422 0.7132  4 Mg 4.08-4.33
Cs: 0.5000 0.2422 0.2868  4 Mg 4.08-4.33
Cs: 0.0000 0.7578 0.2132  4 Mg 4.08-4.33
Cs: 0.0000 0.5068 0.5000  4 Mg 4.13-4.23
Cs: 0.5000 0.4932 0.0000  4 Mg 4.13-4.23
Mg: 0.0000 0.9996 0.5828  3 Mg 3.05-3.11
Mg: 0.5000 0.0004 0.9172  3 Mg 3.05-3.11
Mg: 0.5000 0.0004 0.0828  3 Mg 3.05-3.11
Mg: 0.0000 0.9996 0.4172  3 Mg 3.05-3.11
Mg: 0.0000 0.9925 0.0000  4 Mg 3.11
Mg: 0.5000 0.0075 0.5000  4 Mg 3.11


3.
DFT (GGA-PBE) results for CsMg after structural relaxation.

Summary:
total magnetization: 0.00 μB per formula unit
D(E_F): 2.76 states/eV/cell
symmetry: P1, No. 1
final energy: -1.02 eV per atom

Cell: 4.3029 4.4611 11.5681 Å, 90.03 90.17 89.92°
With the nearest neighbours (Å) after each atom.
Positions (direct):
Cs: 0.6798 0.9286 0.9147  5 Mg 3.92-4.24, 2 Cs 4.30
Cs: 0.1850 0.4304 0.5011  5 Mg 3.92-4.24, 2 Cs 4.30
Mg: 0.6860 0.9343 0.2535  4 Mg 3.27-3.28
Mg: 0.1853 0.4341 0.1625  4 Mg 3.27-3.28


4.
DFT (GGA-PBE) results for CsMg after structural relaxation.

Summary:
total magnetization: 0.00 μB per formula unit
D(E_F): 11.76 states/eV/cell
symmetry: P6_3/mmc, No. 194
final energy: -0.98 eV per atom

Cell: 11.2509 11.2509 6.6542 Å, 90.00 90.00 120.00°
With the nearest neighbours (Å) after each atom.
Positions (direct):
Cs: 0.8174 0.6348 0.2500  6 Mg 4.10-4.20
Cs: 0.1826 0.8174 0.7500  6 Mg 4.10-4.20
Cs: 0.3652 0.1826 0.2500  6 Mg 4.10-4.20
Cs: 0.1826 0.3652 0.7500  6 Mg 4.10-4.20
Cs: 0.8174 0.1826 0.2500  6 Mg 4.10-4.20
Cs: 0.6348 0.8174 0.7500  6 Mg 4.10-4.20
Mg: 0.4262 0.8525 0.2500  2 Mg 3.14
Mg: 0.5738 0.4262 0.7500  2 Mg 3.14
Mg: 0.1475 0.5738 0.2500  2 Mg 3.14
Mg: 0.5738 0.1475 0.7500  2 Mg 3.14
Mg: 0.4262 0.5738 0.2500  2 Mg 3.14
Mg: 0.8525 0.4262 0.7500  2 Mg 3.14


5.
DFT (GGA-PBE) results for CsMg15 after structural relaxation.

Summary:
total magnetization: 0.00 μB per formula unit
D(E_F): 8.57 states/eV/cell
symmetry: P-6m2, No. 187
final energy: -1.38 eV per atom

Cell: 6.6133 6.6133 10.8321 Å, 90.00 90.00 120.00°
With the nearest neighbours (Å) after each atom.
Positions (direct):
Cs: 0.6667 0.3333 0.0000  12 Mg 3.31-3.50
Mg: 0.6667 0.3333 0.5000  12 Mg 3.21-3.31
Mg: 0.1718 0.3436 0.0000  10 Mg 3.20-3.43, 2 Cs 3.31
Mg: 0.1634 0.3268 0.5000  12 Mg 3.16-3.37
Mg: 0.1718 0.8282 0.0000  10 Mg 3.20-3.43, 2 Cs 3.31
Mg: 0.1634 0.8366 0.5000  12 Mg 3.16-3.37
Mg: 0.6564 0.8282 0.0000  10 Mg 3.20-3.43, 2 Cs 3.31
Mg: 0.6732 0.8366 0.5000  12 Mg 3.16-3.37
Mg: 0.0111 0.5055 0.2664  11 Mg 3.16-3.43, 1 Cs 3.50
Mg: 0.0111 0.5055 0.7336  11 Mg 3.16-3.43, 1 Cs 3.50
Mg: 0.4945 0.5055 0.2664  11 Mg 3.16-3.43, 1 Cs 3.50
Mg: 0.4945 0.5055 0.7336  11 Mg 3.16-3.43, 1 Cs 3.50
Mg: 0.4945 0.9889 0.2664  11 Mg 3.16-3.43, 1 Cs 3.50
Mg: 0.4945 0.9889 0.7336  11 Mg 3.16-3.43, 1 Cs 3.50
Mg: 0.0000 0.0000 0.2422  12 Mg 3.28-3.36
Mg: 0.0000 0.0000 0.7578  12 Mg 3.28-3.36


6.
DFT (GGA-PBE) results for CsMg after structural relaxation.

Summary:
total magnetization: 0.00 μB per formula unit
D(E_F): 12.96 states/eV/cell
symmetry: I4/m, No. 87
final energy: -1.01 eV per atom

Cell: 13.8935 13.8935 4.4821 Å, 90.00 90.00 90.00°
With the nearest neighbours (Å) after each atom.
Positions (direct):
Cs: 0.1810 0.1307 0.0000  3 Mg 4.09-4.20, 6 Cs 4.39-4.48
Cs: 0.8190 0.8693 0.0000  3 Mg 4.09-4.20, 6 Cs 4.39-4.48
Cs: 0.8693 0.1810 0.0000  3 Mg 4.09-4.20, 6 Cs 4.39-4.48
Cs: 0.1307 0.8190 0.0000  3 Mg 4.09-4.20, 6 Cs 4.39-4.48
Cs: 0.6810 0.6307 0.5000  3 Mg 4.09-4.20, 6 Cs 4.39-4.48
Cs: 0.3190 0.3693 0.5000  3 Mg 4.09-4.20, 6 Cs 4.39-4.48
Cs: 0.3693 0.6810 0.5000  3 Mg 4.09-4.20, 6 Cs 4.39-4.48
Cs: 0.6307 0.3190 0.5000  3 Mg 4.09-4.20, 6 Cs 4.39-4.48
Mg: 0.5247 0.8845 0.0000  5 Mg 3.23-3.28
Mg: 0.4753 0.1155 0.0000  5 Mg 3.23-3.28
Mg: 0.1155 0.5247 0.0000  5 Mg 3.23-3.28
Mg: 0.8845 0.4753 0.0000  5 Mg 3.23-3.28
Mg: 0.0247 0.3845 0.5000  5 Mg 3.23-3.28
Mg: 0.9753 0.6155 0.5000  5 Mg 3.23-3.28
Mg: 0.6155 0.0247 0.5000  5 Mg 3.23-3.28
Mg: 0.3845 0.9753 0.5000  5 Mg 3.23-3.28


7.
DFT (GGA-PBE) results for CsMg14Mn after structural relaxation.

Summary:
total magnetization: 3.59 μB per formula unit
D(E_F): 9.05 states/eV/cell
symmetry: P-6m2, No. 187
final energy: -1.80 eV per atom

Cell: 6.5469 6.5469 10.6689 Å, 90.00 90.00 120.00°
With the nearest neighbours (Å) after each atom.
Positions (direct):
Cs: 0.0000 0.0000 0.5000  12 Mg 3.27-3.51
Mg: 0.9889 0.4944 0.0000  10 Mg 3.05-3.38, 2 Mn 3.27
Mg: 0.0104 0.5052 0.5000  10 Mg 3.17-3.49, 2 Cs 3.27
Mg: 0.5056 0.0111 0.0000  10 Mg 3.05-3.38, 2 Mn 3.27
Mg: 0.4948 0.9896 0.5000  10 Mg 3.17-3.49, 2 Cs 3.27
Mg: 0.5056 0.4944 0.0000  10 Mg 3.05-3.38, 2 Mn 3.27
Mg: 0.4948 0.5052 0.5000  10 Mg 3.17-3.49, 2 Cs 3.27
Mg: 0.1675 0.8325 0.2229  1 Mn 3.04, 8 Mg 3.05-3.30
Mg: 0.1675 0.8325 0.7771  1 Mn 3.04, 8 Mg 3.05-3.30
Mg: 0.1675 0.3349 0.2229  1 Mn 3.04, 8 Mg 3.05-3.30
Mg: 0.1675 0.3349 0.7771  1 Mn 3.04, 8 Mg 3.05-3.30
Mg: 0.6651 0.8325 0.2229  1 Mn 3.04, 8 Mg 3.05-3.30
Mg: 0.6651 0.8325 0.7771  1 Mn 3.04, 8 Mg 3.05-3.30
Mg: 0.6667 0.3333 0.2586  12 Mg 3.23-3.31
Mg: 0.6667 0.3333 0.7414  12 Mg 3.23-3.31
Mn: 0.0000 0.0000 0.0000  12 Mg 3.04-3.27


8.
DFT (GGA-PBE) results for CsMgMn2 after structural relaxation.

Summary:
total magnetization: 8.52 μB per formula unit
D(E_F): 10.36 states/eV/cell
symmetry: I-42d, No. 122
final energy: -3.96 eV per atom

Cell: 8.7022 8.7022 7.0200 Å, 51.70 51.70 90.00°
With the nearest neighbours (Å) after each atom.
Positions (direct):
Cs: 0.0000 0.0000 0.0000  2 Mg 3.38, 8 Mn 3.55-3.74
Cs: 0.7500 0.2500 0.5000  2 Mg 3.38, 8 Mn 3.55-3.74
Mg: 0.5000 0.5000 0.0000  4 Mn 2.87
Mg: 0.2500 0.7500 0.5000  4 Mn 2.87
Mn: 0.5672 0.1250 0.2500  2 Mg 2.87
Mn: 0.1828 0.6250 0.2500  2 Mg 2.87
Mn: 0.3750 0.4328 0.7500  2 Mg 2.87
Mn: 0.8750 0.8172 0.7500  2 Mg 2.87


9.
DFT (GGA-PBE) results for CsMg6Mn after structural relaxation.

Summary:
total magnetization: 4.11 μB per formula unit
D(E_F): 5.10 states/eV/cell
symmetry: Amm2, No. 38
final energy: -2.03 eV per atom

Cell: 6.8109 6.8109 5.1014 Å, 90.00 90.00 108.07°
With the nearest neighbours (Å) after each atom.
Positions (direct):
Cs: 0.3822 0.6178 0.5000  8 Mg 3.44-3.58, 2 Mn 3.74
Mg: 0.7215 0.8998 0.0000  1 Mn 2.89, 3 Mg 3.03-3.15
Mg: 0.1002 0.2785 0.0000  1 Mn 2.89, 3 Mg 3.03-3.15
Mg: 0.6445 0.3555 0.0000  4 Mg 3.17-3.30
Mg: 0.9080 0.7058 0.5000  2 Mn 3.00, 3 Mg 3.09-3.30
Mg: 0.2942 0.0920 0.5000  2 Mn 3.00, 3 Mg 3.09-3.30
Mg: 0.8151 0.1849 0.5000  10 Mg 3.15-3.51
Mn: 0.1344 0.8656 0.0000  6 Mg 2.89-3.00


10.
DFT (GGA-PBE) results for CsMg3Mn after structural relaxation.

Summary:
total magnetization: 3.88 μB per formula unit
D(E_F): 5.40 states/eV/cell
symmetry: Pm-3m, No. 221
final energy: -2.42 eV per atom

Cell: 5.5078 5.5078 5.5078 Å, 90.00 90.00 90.00°
With the nearest neighbours (Å) after each atom.
Positions (direct):
Cs: 0.5000 0.5000 0.5000  12 Mg 3.89
Mg: 0.0000 0.5000 0.0000  2 Mn 2.75
Mg: 0.0000 0.0000 0.5000  2 Mn 2.75
Mg: 0.5000 0.0000 0.0000  2 Mn 2.75
Mn: 0.0000 0.0000 0.0000  6 Mg 2.75


11.
DFT (GGA-PBE) results for Cs3MgMn after structural relaxation.

Summary:
total magnetization: 2.88 μB per formula unit
D(E_F): 11.04 states/eV/cell
symmetry: Pm-3m, No. 221
final energy: -1.80 eV per atom

Cell: 6.6157 6.6157 6.6157 Å, 90.00 90.00 90.00°
With the nearest neighbours (Å) after each atom.
Positions (direct):
Cs: 0.0000 0.5000 0.0000  2 Mn 3.31
Cs: 0.0000 0.0000 0.5000  2 Mn 3.31
Cs: 0.5000 0.0000 0.0000  2 Mn 3.31
Mg: 0.5000 0.5000 0.5000  12 Cs 4.68
Mn: 0.0000 0.0000 0.0000  6 Cs 3.31


12.
DFT (GGA-PBE) results for CsMgMnS3 after structural relaxation.

Summary:
total magnetization: 4.00 μB per formula unit
D(E_F): 0.38 states/eV/cell
symmetry: P2_1/m, No. 11
final energy: -5.00 eV per atom
formation energy from raw total energies: -0.996 eV/atom

Cell: 3.7001 8.0137 12.0692 Å, 114.52 90.00 90.00°
With the nearest neighbours (Å) after each atom.
Positions (direct):
Cs: 0.7500 0.7108 0.7051  7 S 3.56-3.60, 2 Cs 3.70
Cs: 0.2500 0.2892 0.2949  7 S 3.56-3.60, 2 Cs 3.70
Mg: 0.2500 0.1149 0.6088  4 S 2.41-2.53
Mg: 0.7500 0.8851 0.3912  4 S 2.41-2.53
Mn: 0.2500 0.6534 0.1188  5 S 2.41-2.50
Mn: 0.7500 0.3466 0.8812  5 S 2.41-2.50
S: 0.2500 0.7754 0.4709  3 Mg 2.41-2.53
S: 0.7500 0.8654 0.1807  2 Mn 2.41, 1 Mg 2.48
S: 0.7500 0.4518 0.1075  3 Mn 2.42-2.50
S: 0.7500 0.2246 0.5291  3 Mg 2.41-2.53
S: 0.2500 0.5482 0.8925  3 Mn 2.42-2.50
S: 0.2500 0.1346 0.8193  2 Mn 2.41, 1 Mg 2.48